# MoPd2SN

Crystalline MoPd2SN at its relaxed geometry (PBE-GGA, Alexandria).

Values from the calculation:
- Raw formation energy: 0.935 eV per atom
- Energy: -28.997 eV for the cell shown
- M_tot: 0.000 μB/atom

abc: 4.9762 3.7528 4.9762
angles: 90.00 90.00 90.00
Positions (direct):
1 Mo 0.0000 0.0000 0.0000
2 S 0.5000 0.5000 0.5000
3 Pd 0.0000 0.0000 0.5000
4 Pd 0.5000 0.0000 0.0000
5 N 0.0000 0.5000 0.0000